No. 1
Compound: Ce4Pm3Ru4
Source: Alexandria
Functional: PBE-GGA
Structure: relaxed

Unit cell a=9.051 b=9.051 c=9.051 alpha=156.60 beta=115.80 gamma=69.33
Sites, in units of the cell vectors:
Ce 0.032 0.837 0.195
Ce 0.358 0.163 0.195
Ce 0.642 0.837 0.805
Ce 0.968 0.163 0.805
Pm 0.000 0.500 0.500
Pm 0.389 0.389 0.000
Pm 0.611 0.611 0.000
Ru 0.213 0.713 0.500
Ru 0.276 0.000 0.276
Ru 0.724 0.000 0.724
Ru 0.787 0.287 0.500

Results
Fermi-level density of states ... 13.9 states/eV per cell
E_form ... -281 meV/atom
Symmetry ... Immm (71)
Size of the total moment ... 0.00 μB/atom



No. 2
Compound: CePm5Ru3
Source: Alexandria
Functional: PBE-GGA
Structure: relaxed

Unit cell a=7.755 b=7.755 c=9.886 alpha=105.17 beta=105.17 gamma=73.35
Sites, in units of the cell vectors:
Ce 0.081 0.081 0.289
Ce 0.919 0.919 0.711
Pm 0.008 0.620 0.349
Pm 0.234 0.234 0.043
Pm 0.303 0.697 0.000
Pm 0.380 0.992 0.651
Pm 0.465 0.465 0.651
Pm 0.535 0.535 0.349
Pm 0.620 0.008 0.349
Pm 0.697 0.303 0.000
Pm 0.766 0.766 0.957
Pm 0.992 0.380 0.651
Ru 0.000 0.000 0.000
Ru 0.000 0.000 0.500
Ru 0.283 0.283 0.377
Ru 0.340 0.340 0.834
Ru 0.660 0.660 0.166
Ru 0.717 0.717 0.623

Results
Fermi-level density of states ... 11.6 states/eV per cell
E_form ... -187 meV/atom
Symmetry ... C2/m (12)
Size of the total moment ... 0.00 μB/atom



No. 3
Compound: Ce5Pm5Ru6
Source: Alexandria
Functional: PBE-GGA
Structure: relaxed

Unit cell a=6.306 b=8.669 c=8.669 alpha=125.37 beta=90.00 gamma=90.00
Sites, in units of the cell vectors:
Ce 0.000 0.000 0.000
Ce 0.251 0.605 0.956
Ce 0.251 0.956 0.605
Ce 0.749 0.605 0.956
Ce 0.749 0.956 0.605
Pm 0.000 0.284 0.521
Pm 0.000 0.521 0.284
Pm 0.500 0.043 0.276
Pm 0.500 0.276 0.043
Pm 0.500 0.549 0.549
Ru 0.000 0.240 0.851
Ru 0.000 0.699 0.699
Ru 0.000 0.851 0.240
Ru 0.500 0.320 0.717
Ru 0.500 0.717 0.320
Ru 0.500 0.890 0.890

Results
Fermi-level density of states ... 19.2 states/eV per cell
E_form ... -280 meV/atom
Symmetry ... Amm2 (38)
Size of the total moment ... 0.00 μB/atom



No. 4
Compound: Ce2PmRu
Source: Alexandria
Functional: PBE-GGA
Structure: relaxed

Unit cell a=9.318 b=9.318 c=9.318 alpha=23.74 beta=23.74 gamma=23.74
Sites, in units of the cell vectors:
Ce 0.226 0.226 0.226
Ce 0.774 0.774 0.774
Pm 0.000 0.000 0.000
Ru 0.500 0.500 0.500

Results
Fermi-level density of states ... 8.9 states/eV per cell
E_form ... -77 meV/atom
Symmetry ... R-3m (166)
Distance to the lowest polymorph of the same formula ... 137 meV/atom
Size of the total moment ... 0.11 μB/atom



No. 5
Compound: Ce5Pm2Ru3
Source: Alexandria
Functional: PBE-GGA
Structure: relaxed

Unit cell a=9.522 b=9.522 c=6.239 alpha=104.38 beta=104.38 gamma=103.05
Sites, in units of the cell vectors:
Ce 0.019 0.981 0.750
Ce 0.226 0.541 0.476
Ce 0.238 0.345 0.887
Ce 0.345 0.238 0.387
Ce 0.459 0.774 0.024
Ce 0.541 0.226 0.976
Ce 0.655 0.762 0.613
Ce 0.762 0.655 0.113
Ce 0.774 0.459 0.524
Ce 0.981 0.019 0.250
Pm 0.087 0.678 0.947
Pm 0.322 0.913 0.553
Pm 0.678 0.087 0.447
Pm 0.913 0.322 0.053
Ru 0.006 0.308 0.592
Ru 0.308 0.006 0.092
Ru 0.496 0.504 0.750
Ru 0.504 0.496 0.250
Ru 0.692 0.994 0.908
Ru 0.994 0.692 0.408

Results
Fermi-level density of states ... 42.3 states/eV per cell
E_form ... -191 meV/atom
Symmetry ... C2/c (15)
Size of the total moment ... 0.14 μB/atom



No. 6
Compound: Ce2Pm5Ru4
Source: Alexandria
Functional: PBE-GGA
Structure: relaxed

Unit cell a=6.445 b=6.445 c=9.162 alpha=95.93 beta=95.93 gamma=51.57
Sites, in units of the cell vectors:
Ce 0.122 0.122 0.393
Ce 0.878 0.878 0.607
Pm 0.000 0.000 0.000
Pm 0.306 0.306 0.889
Pm 0.417 0.417 0.309
Pm 0.583 0.583 0.691
Pm 0.694 0.694 0.111
Ru 0.080 0.080 0.721
Ru 0.295 0.295 0.584
Ru 0.705 0.705 0.416
Ru 0.920 0.920 0.279

Results
Fermi-level density of states ... 8.8 states/eV per cell
E_form ... -176 meV/atom
Symmetry ... C2/m (12)
Size of the total moment ... 0.00 μB/atom